No. 1
VASP calculation (GGA-PBE) on a relaxed Y6ErIn2 crystal.

Summary:
Calculated formation energy in eV per atom: -0.223
Total moment in μB/f.u.: 0.00
E_tot in eV/atom: -5.6476
Space-group type: C2/m
N(E_F) in states/eV/cell: 11.74

a b c (Å): 3.749 6.630 11.835
angles (deg): 74.77 80.89 73.57
Sites, in units of the cell vectors:
Y 0.683 0.512 0.123
Y 0.317 0.488 0.877
Y 0.309 0.794 0.587
Y 0.982 0.694 0.341
Y 0.018 0.306 0.659
Y 0.691 0.206 0.413
Er 0.000 0.000 0.000
In 0.357 0.084 0.202
In 0.643 0.916 0.798



No. 2
VASP calculation (GGA-PBE) on a relaxed Y2Er2In crystal.

Summary:
Calculated formation energy in eV per atom: 0.010
Total moment in μB/f.u.: 0.00
Polymorph energy (0 for the lowest one) in meV/atom: 191
E_tot in eV/atom: -4.9489
Space-group type: P4/mbm
N(E_F) in states/eV/cell: 11.90

a b c (Å): 4.718 8.096 8.096
angles (deg): 90.00 90.00 90.00
Sites, in units of the cell vectors:
Y 0.500 0.153 0.653
Y 0.500 0.653 0.847
Y 0.500 0.847 0.347
Y 0.500 0.347 0.153
Er 0.000 0.353 0.853
Er 0.000 0.853 0.647
Er 0.000 0.647 0.147
Er 0.000 0.147 0.353
In 0.000 0.000 0.000
In 0.000 0.500 0.500



No. 3
VASP calculation (GGA-PBE) on a relaxed Y2ErIn crystal.

Summary:
Calculated formation energy in eV per atom: -0.242
Total moment in μB/f.u.: 0.00
Polymorph energy (0 for the lowest one) in meV/atom: 28
E_tot in eV/atom: -5.2991
Space-group type: P4/mmm
N(E_F) in states/eV/cell: 4.79

a b c (Å): 3.582 3.582 9.195
angles (deg): 90.00 90.00 90.00
Sites, in units of the cell vectors:
Y 0.000 0.000 0.772
Y 0.000 0.000 0.228
In 0.500 0.500 0.000
Er 0.500 0.500 0.500



No. 4
VASP calculation (GGA-PBE) on a relaxed YEr3In2 crystal.

Summary:
Calculated formation energy in eV per atom: -0.362
Total moment in μB/f.u.: 0.00
Polymorph energy (0 for the lowest one) in meV/atom: 0
E_tot in eV/atom: -4.6337
Space-group type: Pmc2_1
N(E_F) in states/eV/cell: 10.90

a b c (Å): 5.129 6.717 9.764
angles (deg): 90.00 90.00 90.00
Sites, in units of the cell vectors:
Y 0.500 0.540 0.539
Y 0.500 0.040 0.461
Er 0.000 0.460 0.961
Er 0.000 0.960 0.039
Er 0.500 0.680 0.183
Er 0.500 0.180 0.817
Er 0.000 0.321 0.314
Er 0.000 0.821 0.686
In 0.500 0.709 0.861
In 0.500 0.209 0.139
In 0.000 0.290 0.639
In 0.000 0.790 0.361



No. 5
VASP calculation (GGA-PBE) on a relaxed Y5Er4In4 crystal.

Summary:
Calculated formation energy in eV per atom: -0.344
Total moment in μB/f.u.: 0.00
E_tot in eV/atom: -5.0765
Space-group type: I4/m
N(E_F) in states/eV/cell: 11.02

a b c (Å): 5.049 8.986 8.986
angles (deg): 85.47 73.68 73.68
Sites, in units of the cell vectors:
Y 0.688 0.910 0.714
Y 0.312 0.090 0.286
Y 0.000 0.000 0.000
Y 0.598 0.714 0.090
Y 0.402 0.286 0.910
Er 0.903 0.492 0.702
Er 0.605 0.298 0.492
Er 0.097 0.508 0.298
Er 0.395 0.702 0.508
In 0.764 0.340 0.131
In 0.236 0.660 0.869
In 0.895 0.869 0.340
In 0.105 0.131 0.660



No. 6
VASP calculation (GGA-PBE) on a relaxed YEr8In2 crystal.

Summary:
Calculated formation energy in eV per atom: -0.028
Total moment in μB/f.u.: 0.00
E_tot in eV/atom: -4.4316
Space-group type: C2/m
N(E_F) in states/eV/cell: 15.40

a b c (Å): 5.576 8.728 8.728
angles (deg): 119.48 102.47 102.47
Sites, in units of the cell vectors:
Y 0.500 0.000 0.000
Er 0.875 0.905 0.675
Er 0.875 0.675 0.905
Er 0.297 0.594 0.594
Er 0.500 0.784 0.216
Er 0.500 0.216 0.784
Er 0.703 0.406 0.406
Er 0.125 0.325 0.095
Er 0.125 0.095 0.325
In 0.000 0.307 0.693
In 0.000 0.693 0.307



No. 7
VASP calculation (GGA-PBE) on a relaxed YErIn crystal.

Summary:
Calculated formation energy in eV per atom: -0.327
Total moment in μB/f.u.: 0.00
Polymorph energy (0 for the lowest one) in meV/atom: 0
E_tot in eV/atom: -4.9150
Space-group type: I4mm
N(E_F) in states/eV/cell: 3.20

a b c (Å): 3.533 3.533 7.279
angles (deg): 104.04 104.04 90.00
Sites, in units of the cell vectors:
Y 0.294 0.294 0.588
In 0.951 0.951 0.902
Er 0.605 0.605 0.210



No. 8
VASP calculation (GGA-PBE) on a relaxed YErIn6 crystal.

Summary:
Calculated formation energy in eV per atom: -0.405
Total moment in μB/f.u.: 0.00
E_tot in eV/atom: -3.8372
Space-group type: P4/mmm
N(E_F) in states/eV/cell: 3.01

a b c (Å): 4.632 4.632 9.271
angles (deg): 90.00 90.00 90.00
Sites, in units of the cell vectors:
Y 0.000 0.000 0.500
Er 0.000 0.000 0.000
In 0.500 0.500 0.000
In 0.500 0.500 0.500
In 0.500 0.000 0.248
In 0.500 0.000 0.752
In 0.000 0.500 0.248
In 0.000 0.500 0.752



No. 9
VASP calculation (GGA-PBE) on a relaxed Y5Er2In5 crystal.

Summary:
Calculated formation energy in eV per atom: -0.326
Total moment in μB/f.u.: 0.00
E_tot in eV/atom: -4.9206
Space-group type: C2/m
N(E_F) in states/eV/cell: 12.02

a b c (Å): 5.054 6.513 11.967
angles (deg): 108.89 90.00 112.83
Sites, in units of the cell vectors:
Y 0.500 0.000 0.500
Y 0.652 0.304 0.002
Y 0.637 0.274 0.278
Y 0.363 0.726 0.722
Y 0.348 0.696 0.998
Er 0.073 0.146 0.760
Er 0.927 0.854 0.240
In 0.165 0.330 0.463
In 0.734 0.468 0.779
In 0.266 0.532 0.221
In 0.835 0.670 0.537
In 0.000 0.000 0.000



No. 10
VASP calculation (GGA-PBE) on a relaxed Y5ErIn4 crystal.

Summary:
Calculated formation energy in eV per atom: -0.399
Total moment in μB/f.u.: 0.00
E_tot in eV/atom: -5.1831
Space-group type: P4/mmm
N(E_F) in states/eV/cell: 6.73

a b c (Å): 3.592 3.592 21.513
angles (deg): 90.00 90.00 90.00
Sites, in units of the cell vectors:
Y 0.500 0.500 0.114
Y 0.500 0.500 0.306
Y 0.500 0.500 0.500
Y 0.500 0.500 0.694
Y 0.500 0.500 0.886
Er 0.000 0.000 0.000
In 0.000 0.000 0.210
In 0.000 0.000 0.403
In 0.000 0.000 0.597
In 0.000 0.000 0.790



No. 11
VASP calculation (GGA-PBE) on a relaxed Y6Er3In crystal.

Summary:
Calculated formation energy in eV per atom: 0.151
Total moment in μB/f.u.: 0.00
Polymorph energy (0 for the lowest one) in meV/atom: 243
E_tot in eV/atom: -5.3703
Space-group type: R-3
N(E_F) in states/eV/cell: 25.06

a b c (Å): 8.786 8.786 8.786
angles (deg): 78.95 78.95 78.95
Sites, in units of the cell vectors:
Y 0.281 0.920 0.281
Y 0.080 0.719 0.719
Y 0.533 0.825 0.532
Y 0.719 0.719 0.080
Y 0.532 0.533 0.825
Y 0.175 0.468 0.467
Y 0.825 0.532 0.533
Y 0.468 0.467 0.175
Y 0.281 0.281 0.920
Y 0.467 0.175 0.468
Y 0.920 0.281 0.281
Y 0.719 0.080 0.719
Er 0.371 0.898 0.897
Er 0.898 0.897 0.371
Er 0.103 0.629 0.102
Er 0.897 0.371 0.898
Er 0.102 0.103 0.629
Er 0.629 0.102 0.103
In 0.000 0.000 0.000
In 0.500 0.500 0.500



No. 12
VASP calculation (GGA-PBE) on a relaxed YEr4In4 crystal.

Summary:
Calculated formation energy in eV per atom: -0.132
Total moment in μB/f.u.: 0.00
E_tot in eV/atom: -4.0955
Space-group type: P4_2/nmc
N(E_F) in states/eV/cell: 12.12

a b c (Å): 7.166 7.166 10.508
angles (deg): 90.00 90.00 90.00
Sites, in units of the cell vectors:
Y 0.000 0.000 0.000
Y 0.500 0.500 0.500
Er 0.230 0.500 0.915
Er 0.770 0.500 0.915
Er 0.500 0.770 0.085
Er 0.500 0.230 0.085
Er 0.000 0.730 0.415
Er 0.000 0.270 0.415
Er 0.270 0.000 0.585
Er 0.730 0.000 0.585
In 0.500 0.782 0.786
In 0.500 0.218 0.786
In 0.782 0.500 0.214
In 0.218 0.500 0.214
In 0.282 0.000 0.286
In 0.718 0.000 0.286
In 0.000 0.282 0.714
In 0.000 0.718 0.714



No. 13
VASP calculation (GGA-PBE) on a relaxed YErIn crystal.

Summary:
Calculated formation energy in eV per atom: -0.079
Total moment in μB/f.u.: 0.71
Polymorph energy (0 for the lowest one) in meV/atom: 248
E_tot in eV/atom: -4.6674
Space-group type: P4/nmm
N(E_F) in states/eV/cell: 7.07

a b c (Å): 4.815 4.815 7.760
angles (deg): 90.00 90.00 90.00
Site moments in Bohr magnetons follow the coordinates.
Sites, in units of the cell vectors:
Y 0.000 0.500 0.710  0.22
Y 0.500 0.000 0.290  0.22
In 0.500 0.500 0.000  0.01
In 0.000 0.000 0.000  0.01
Er 0.500 0.000 0.734  0.26
Er 0.000 0.500 0.266  0.26



No. 14
VASP calculation (GGA-PBE) on a relaxed Y12Er5In3 crystal.

Summary:
Calculated formation energy in eV per atom: 0.800
Total moment in μB/f.u.: 0.01
E_tot in eV/atom: -4.6300
Space-group type: Ia-3d
N(E_F) in states/eV/cell: 133.95

a b c (Å): 15.994 15.994 15.994
angles (deg): 109.47 109.47 109.47
Sites, in units of the cell vectors:
In 0.750 0.375 0.125
In 0.875 0.750 0.125
In 0.375 0.750 0.625
In 0.250 0.125 0.375
In 0.875 0.125 0.250
In 0.375 0.625 0.250
In 0.625 0.375 0.750
In 0.125 0.875 0.750
In 0.750 0.875 0.625
In 0.625 0.250 0.375
In 0.125 0.250 0.875
In 0.250 0.625 0.875
Er 0.125 0.375 0.250
Er 0.000 0.500 0.000
Er 0.000 0.000 0.000
Er 0.375 0.250 0.125
Er 0.500 0.000 0.500
Er 0.500 0.500 0.000
Er 0.125 0.750 0.375
Er 0.750 0.125 0.875
Er 0.750 0.625 0.375
Er 0.375 0.125 0.750
Er 0.625 0.875 0.250
Er 0.500 0.500 0.500
Er 0.500 0.000 0.000
Er 0.000 0.000 0.500
Er 0.250 0.375 0.625
Er 0.250 0.875 0.125
Er 0.000 0.500 0.500
Er 0.875 0.250 0.625
Er 0.625 0.750 0.875
Er 0.875 0.625 0.750
Y 0.730 0.148 0.076
Y 0.346 0.576 0.428
Y 0.924 0.352 0.270
Y 0.576 0.230 0.148
Y 0.582 0.730 0.654
Y 0.924 0.572 0.154
Y 0.346 0.770 0.418
Y 0.072 0.918 0.148
Y 0.572 0.924 0.654
Y 0.730 0.582 0.154
Y 0.770 0.424 0.352
Y 0.846 0.928 0.076
Y 0.148 0.730 0.576
Y 0.352 0.428 0.082
Y 0.082 0.928 0.352
Y 0.418 0.148 0.572
Y 0.082 0.154 0.230
Y 0.424 0.654 0.072
Y 0.846 0.918 0.270
Y 0.148 0.418 0.072
Y 0.352 0.924 0.770
Y 0.572 0.648 0.418
Y 0.928 0.846 0.576
Y 0.770 0.346 0.918
Y 0.428 0.352 0.582
Y 0.072 0.154 0.424
Y 0.230 0.654 0.082
Y 0.154 0.082 0.730
Y 0.648 0.076 0.230
Y 0.852 0.582 0.928
Y 0.576 0.346 0.928
Y 0.582 0.852 0.428
Y 0.918 0.846 0.770
Y 0.918 0.072 0.648
Y 0.852 0.270 0.424
Y 0.154 0.072 0.924
Y 0.648 0.572 0.918
Y 0.428 0.076 0.346
Y 0.270 0.418 0.846
Y 0.230 0.576 0.648
Y 0.928 0.082 0.852
Y 0.654 0.230 0.582
Y 0.424 0.770 0.852
Y 0.076 0.428 0.846
Y 0.418 0.270 0.346
Y 0.076 0.648 0.730
Y 0.654 0.424 0.572
Y 0.270 0.852 0.924



No. 15
VASP calculation (GGA-PBE) on a relaxed Y2Er4In crystal.

Summary:
Calculated formation energy in eV per atom: -0.023
Total moment in μB/f.u.: 0.00
E_tot in eV/atom: -4.8684
Space-group type: P2_1/m
N(E_F) in states/eV/cell: 19.37

a b c (Å): 5.760 6.621 11.502
angles (deg): 90.00 105.42 90.00
Sites, in units of the cell vectors:
Y 0.583 0.750 0.021
Y 0.417 0.250 0.979
Y 0.260 0.250 0.428
Y 0.740 0.750 0.572
Er 0.629 0.492 0.289
Er 0.995 0.750 0.870
Er 0.005 0.250 0.130
Er 0.629 0.008 0.289
Er 0.846 0.250 0.569
Er 0.371 0.992 0.711
Er 0.371 0.508 0.711
Er 0.154 0.750 0.431
In 0.141 0.750 0.158
In 0.859 0.250 0.842



No. 16
VASP calculation (GGA-PBE) on a relaxed YEr2In2 crystal.

Summary:
Calculated formation energy in eV per atom: -0.216
Total moment in μB/f.u.: 0.00
Polymorph energy (0 for the lowest one) in meV/atom: 169
E_tot in eV/atom: -4.4296
Space-group type: P-3m1
N(E_F) in states/eV/cell: 6.73

a b c (Å): 5.191 5.191 6.468
angles (deg): 90.00 90.00 120.00
Sites, in units of the cell vectors:
Y 0.000 0.000 0.000
Er 0.333 0.667 0.660
Er 0.667 0.333 0.340
In 0.333 0.667 0.182
In 0.667 0.333 0.818



No. 17
VASP calculation (GGA-PBE) on a relaxed Y6Er3In crystal.

Summary:
Calculated formation energy in eV per atom: -0.092
Total moment in μB/f.u.: 0.00
Polymorph energy (0 for the lowest one) in meV/atom: 0
E_tot in eV/atom: -5.6132
Space-group type: P2_1/m
N(E_F) in states/eV/cell: 30.54

a b c (Å): 5.567 9.504 12.817
angles (deg): 114.97 90.00 90.00
Sites, in units of the cell vectors:
Y 0.750 0.465 0.062
Y 0.250 0.535 0.938
Y 0.750 0.166 0.171
Y 0.250 0.834 0.829
Y 0.750 0.973 0.570
Y 0.250 0.027 0.430
Y 0.750 0.265 0.461
Y 0.250 0.735 0.539
Y 0.750 0.554 0.369
Y 0.250 0.446 0.631
Y 0.750 0.767 0.965
Y 0.250 0.233 0.035
Er 0.750 0.851 0.268
Er 0.250 0.149 0.732
Er 0.750 0.373 0.766
Er 0.250 0.627 0.234
Er 0.750 0.072 0.863
Er 0.250 0.928 0.137
In 0.750 0.668 0.664
In 0.250 0.332 0.336



No. 18
VASP calculation (GGA-PBE) on a relaxed YEr5In2 crystal.

Summary:
Calculated formation energy in eV per atom: -0.081
Total moment in μB/f.u.: 0.26
E_tot in eV/atom: -4.4256
Space-group type: Immm
N(E_F) in states/eV/cell: 9.82

a b c (Å): 4.501 7.715 7.715
angles (deg): 77.76 73.04 73.04
Site moments in Bohr magnetons follow the coordinates.
Sites, in units of the cell vectors:
Y 0.000 0.000 0.000  0.00
Er 0.000 0.500 0.500  0.06
Er 0.653 0.535 0.159  0.04
Er 0.347 0.465 0.841  0.04
Er 0.347 0.841 0.465  0.04
Er 0.653 0.159 0.535  0.04
In 0.713 0.787 0.787  0.00
In 0.287 0.213 0.213  0.00



No. 19
VASP calculation (GGA-PBE) on a relaxed YEr2In crystal.

Summary:
Calculated formation energy in eV per atom: -0.147
Total moment in μB/f.u.: 0.54
Polymorph energy (0 for the lowest one) in meV/atom: 118
E_tot in eV/atom: -4.7291
Space-group type: R3m
N(E_F) in states/eV/cell: 4.63

a b c (Å): 3.566 3.566 11.037
angles (deg): 80.71 80.71 59.99
Site moments in Bohr magnetons follow the coordinates.
Sites, in units of the cell vectors:
Y 0.500 0.500 0.500  0.15
Er 0.078 0.078 0.765  0.13
Er 0.255 0.255 0.235  0.05
In 0.666 0.666 0.001  0.00